Material: TiB2RhC
Method: DFT, PBE
State: relaxed

Results
- E_form: 1.00 eV per atom
- E_tot: -6.5651 eV/atom
- Symmetry: P4/mmm, No. 123

a b c (Å): 3.589 4.063 3.589
angles (deg): 90.00 90.00 90.00
Atoms (fractional coordinates):
C: 0.000 0.000 0.000
B: 0.000 0.000 0.500
B: 0.500 0.000 0.000
Rh: 0.000 0.500 0.000
Ti: 0.500 0.500 0.500